No. 1
## Fe2HgSb (PBE-GGA)

Data for a geometry-optimized Fe2HgSb structure.

Calculated values
ΔE_f (raw) ... 0.379 eV per atom
Total magnetization ... 4.7 μB/f.u.
DOS(E_F) ... 0.75 states/eV/atom
SG ... C2/m, No. 12

Cell and atoms, written as CIF:
```
data_Fe2HgSb
_chemical_formula_sum 'Fe2 Hg1 Sb1'
_space_group_name_H-M_alt 'P 1'
_space_group_IT_number 1
_cell_length_a 4.736
_cell_length_b 4.736
_cell_length_c 7.121
_cell_angle_alpha 60.12
_cell_angle_beta 60.12
_cell_angle_gamma 38.32
loop_
_space_group_symop_operation_xyz
'x,y,z'
loop_
_atom_site_label
_atom_site_type_symbol
_atom_site_fract_x
_atom_site_fract_y
_atom_site_fract_z
Fe1 Fe 0.969 0.969 0.893
Hg1 Hg 0.250 0.250 0.250
Sb1 Sb 0.750 0.750 0.750
Fe2 Fe 0.531 0.531 0.607
```

---

No. 2
## AcPrSiCl (PBE-GGA)

Data for a geometry-optimized AcPrSiCl structure.

Calculated values
ΔE_f (raw) ... -0.856 eV per atom
Total magnetization ... 0.0 μB/f.u.
DOS(E_F) ... 0.49 states/eV/atom
E above lowest polymorph ... 0.50 eV/f.u.
SG ... Amm2, No. 38

Cell and atoms, written as CIF:
```
data_AcPrSiCl
_chemical_formula_sum 'Ac1 Pr1 Si1 Cl1'
_space_group_name_H-M_alt 'P 1'
_space_group_IT_number 1
_cell_length_a 5.104
_cell_length_b 5.181
_cell_length_c 6.119
_cell_angle_alpha 90.00
_cell_angle_beta 90.00
_cell_angle_gamma 119.51
loop_
_space_group_symop_operation_xyz
'x,y,z'
loop_
_atom_site_label
_atom_site_type_symbol
_atom_site_fract_x
_atom_site_fract_y
_atom_site_fract_z
Pr1 Pr 0.168 0.336 0.500
Cl1 Cl 0.168 0.337 0.000
Ac1 Ac 0.838 0.677 0.000
Si1 Si 0.838 0.675 0.500
```